## Ac2LaPd (PBE)

Data for a relaxed Ac2LaPd crystal.

Computed properties:
- Density of states at the Fermi level: 11.74 states/eV/cell
- Crystal system: orthorhombic
- Electronic total energy: -4.9750 eV/atom
- SG: Cmcm (63)
- Formation energy: -391 meV/atom

abc: 4.0775 6.8419 10.5798
angles: 90.00 90.00 107.36
With the nearest neighbours (Å) after each atom.
Element x y z (fractional)
Ac 0.3637 0.7263 0.5634  2 Pd 3.12
Ac 0.6363 0.2737 0.4366  2 Pd 3.12
Ac 0.3637 0.7263 0.9366  2 Pd 3.12
Ac 0.6363 0.2737 0.0634  2 Pd 3.12
La 0.9137 0.8270 0.2500  2 Pd 3.08
La 0.0863 0.1730 0.7500  2 Pd 3.08
Pd 0.7634 0.5260 0.7500  2 La 3.08, 4 Ac 3.12
Pd 0.2366 0.4740 0.2500  2 La 3.08, 4 Ac 3.12